This record from Alexandria via LeMat-Bulk describes MoAs after structural relaxation. The functional is PBE-GGA.

Computed properties:
- calculated formation energy (eV per atom) = 0.372
- energy (eV/atom) = -7.368
- SG = Fm-3m

Cell: 3.664 3.664 3.664 Å, 60.00 60.00 60.00°
Element x y z (fractional)
Mo 0.000 0.000 0.000
As 0.500 0.500 0.500